Material: Tb3Pr7Er
Method: DFT, PBE-GGA
State: relaxed Values from VASP.

```
&SYSTEM
  ibrav = 0, nat = 22, ntyp = 3
/
ATOMIC_SPECIES
Pr 140.91 Pr.upf
Tb 158.93 Tb.upf
Er 167.26 Er.upf
CELL_PARAMETERS angstrom
9.892 -2.499 2.109
-5.758 8.416 -2.112
2.601 -1.820 12.356
ATOMIC_POSITIONS angstrom
Pr 8.241 0.828 12.726
Pr 0.566 6.168 -0.419
Pr -1.506 3.268 -0.373
Tb 6.632 -0.246 9.710
Tb 1.383 3.405 8.822
Pr 8.134 -1.247 4.805
Pr 3.175 0.387 9.266
Er 2.067 2.958 -0.001
Pr 4.891 -1.194 6.548
Pr -0.166 2.346 5.760
Pr 6.168 -2.071 12.772
Er 3.367 2.048 6.177
Tb 5.352 0.692 3.531
Pr -2.672 6.300 1.368
Pr 1.844 5.291 5.805
Pr -1.399 5.343 7.548
Pr 9.407 -2.204 10.985
Tb 0.103 4.343 2.643
Tb 1.300 -0.910 6.178
Pr 6.900 1.751 6.593
Tb 6.735 4.097 12.353
Pr 3.560 3.710 3.087
```

Computed properties:
DOS(E_F) ... 33.73 states/eV per cell
E ... -0.167 Ha/atom
Formation energy ... 185 meV per atom
Energy relative to the lowest polymorph listed for this composition ... 0.00 eV/f.u.
SG ... No. 2

Material: Tm4Tl2Pb3
Method: DFT, PBE-GGA
State: relaxed Values from VASP.

```
&SYSTEM
  ibrav = 0, nat = 9, ntyp = 3
/
ATOMIC_SPECIES
Tm 168.93 Tm.upf
Pb 207.20 Pb.upf
Tl 204.38 Tl.upf
CELL_PARAMETERS angstrom
-2.112 4.654 -1.561
-5.046 1.516 0.892
3.806 3.744 9.342
ATOMIC_POSITIONS angstrom
Tm 2.503 2.540 6.244
Pb -2.656 6.210 4.767
Tl 0.526 5.054 7.096
Pb 0.000 0.000 0.000
Tm -1.451 7.462 7.812
Tm -1.900 2.451 0.862
Tl -3.878 4.860 1.578
Pb -0.695 3.704 3.906
Tm -5.855 7.374 2.429
```

Computed properties:
DOS(E_F) ... 5.92 states/eV per cell
E ... -0.147 Ha/atom
Formation energy ... -259 meV per atom
SG ... No. 12

Material: LiSiSe
Method: DFT, PBE-GGA
State: relaxed Values from VASP.

```
&SYSTEM
  ibrav = 0, nat = 3, ntyp = 3
/
ATOMIC_SPECIES
Si 28.09 Si.upf
Li 6.94 Li.upf
Se 78.96 Se.upf
CELL_PARAMETERS angstrom
-1.152 -0.663 3.191
-1.599 -1.381 -2.736
3.270 -4.338 0.279
ATOMIC_POSITIONS angstrom
Si 0.788 -3.673 1.394
Li 0.028 -0.038 0.002
Se -0.297 -2.671 -0.662
```

Computed properties:
DOS(E_F) ... 1.36 states/eV per cell
E ... -0.139 Ha/atom
Uncorrected formation energy ... -50 kJ/mol of formula units
Energy relative to the lowest polymorph listed for this composition ... 0.00 eV/f.u.
SG ... No. 156

Material: DyB3Mo
Method: DFT, PBE-GGA
State: relaxed Values from VASP.

```
&SYSTEM
  ibrav = 0, nat = 10, ntyp = 3
/
ATOMIC_SPECIES
B 10.81 B.upf
Mo 95.94 Mo.upf
Dy 162.50 Dy.upf
CELL_PARAMETERS angstrom
3.168 0.000 0.000
0.000 5.455 -0.004
0.000 1.433 6.696
ATOMIC_POSITIONS angstrom
B 0.792 5.775 3.511
Mo 2.376 5.546 5.224
B 2.376 1.113 3.181
B 0.792 4.985 0.023
B 2.376 1.903 6.669
B 2.376 3.697 6.652
Mo 0.792 1.343 1.468
Dy 2.376 4.102 1.944
Dy 0.792 2.786 4.748
B 0.792 3.191 0.040
```

Computed properties:
DOS(E_F) ... 2.06 states/eV per cell
E ... -0.283 Ha/atom
Formation energy ... -621 meV per atom
Energy relative to the lowest polymorph listed for this composition ... 0.00 eV/f.u.
SG ... No. 11

Material: SbHPtPb2
Method: DFT, PBE-GGA
State: relaxed Values from VASP.

```
&SYSTEM
  ibrav = 0, nat = 5, ntyp = 4
/
ATOMIC_SPECIES
Pb 207.20 Pb.upf
Sb 121.76 Sb.upf
H 1.01 H.upf
Pt 195.08 Pt.upf
CELL_PARAMETERS angstrom
5.747 0.000 0.000
0.000 5.747 0.000
0.000 0.000 3.434
ATOMIC_POSITIONS angstrom
Pb 2.873 0.000 0.000
Sb 2.873 2.873 1.717
H 0.000 0.000 1.717
Pb 0.000 2.873 0.000
Pt 0.000 0.000 0.000
```

Computed properties:
DOS(E_F) ... 2.98 states/eV per cell
E ... -0.154 Ha/atom
SG ... No. 123

Material: Pm4CuCCl2
Method: DFT, PBE-GGA
State: relaxed Values from VASP.

```
&SYSTEM
  ibrav = 0, nat = 8, ntyp = 4
/
ATOMIC_SPECIES
Pm 145.00 Pm.upf
Cl 35.45 Cl.upf
C 12.01 C.upf
Cu 63.55 Cu.upf
CELL_PARAMETERS angstrom
3.875 0.000 0.000
0.000 7.048 0.217
0.000 -2.379 6.815
ATOMIC_POSITIONS angstrom
Pm 0.000 4.523 1.525
Pm 0.000 0.146 5.507
Cl 0.000 2.335 3.516
Cl 1.937 -1.189 3.408
C 1.937 3.524 0.108
Cu 0.000 0.000 0.000
Pm 1.937 1.346 1.523
Pm 1.937 3.324 5.509
```

Computed properties:
DOS(E_F) ... 5.89 states/eV per cell
E ... -0.196 Ha/atom
Uncorrected formation energy ... -648 kJ/mol of formula units
SG ... No. 10

> Which of these has the lowest E?

DyB3Mo

> Number 5 is which compound?

SbHPtPb2